[1]
VASP calculation (PBEsol) on a relaxed In2AuSe crystal.

Properties
- Space-group type: P4/mmm (123)
- Energy relative to the elements, uncorrected: -101.8 kJ/mol of formula units

abc: 3.976 3.976 5.824
angles: 90.00 90.00 90.00
Sites, in units of the cell vectors:
In 0.000 0.000 0.000
In 0.500 0.500 0.500
Au 0.000 0.000 0.500
Se 0.500 0.500 0.000

[2]
VASP calculation (PBEsol) on a relaxed Cu3Pt crystal.

Properties
- Space-group type: Pm-3m (221)
- E_form: -126 meV per atom

abc: 3.663 3.663 3.663
angles: 90.00 90.00 90.00
Sites, in units of the cell vectors:
Cu 0.000 0.000 0.500
Cu 0.000 0.500 0.000
Cu 0.500 0.000 0.000
Pt 0.500 0.500 0.500